## Na5HfAs3 (PBE)

Data for a geometry-optimized Na5HfAs3 structure.

a = 8.525 Å, b = 7.575 Å, c = 16.234 Å
α = 90.00°, β = 121.15°, γ = 90.00°
Space group P2_1/c (No. 14)
Asymmetric unit:
Na: 0.004 0.163 0.081 [4 per cell]
Na: 0.084 0.009 0.762 [4 per cell]
Na: 0.261 0.513 0.093 [4 per cell]
Na: 0.319 0.653 0.743 [4 per cell]
Na: 0.405 0.029 0.084 [4 per cell]
Hf: 0.340 0.142 0.414 [4 per cell]
As: 0.057 0.243 0.917 [4 per cell]
As: 0.341 0.706 0.931 [4 per cell]
As: 0.356 0.238 0.265 [4 per cell]

Output
Formation energy (meV/atom): -588
Final energy (eV/atom): -3.98
Crystal system: monoclinic
Total moment (μB per atom): 0.00